1.
Entry from Alexandria: an optimized crystal structure of TlAsP (PBE-GGA).

Unit cell a=11.1866 b=3.1558 c=9.4341 alpha=90.00 beta=104.71 gamma=90.00
Space group C2/m (No. 12)
Symmetry-distinct sites (fractional):
Tl1 0.0522 0.0000 0.1834 [4 per cell]
As1 0.1060 0.0000 0.5052 [4 per cell]
P1 0.2329 0.0000 0.9187 [4 per cell]

Properties
Formation energy in eV/atom: 0.2104
Excess energy over the best structure of this formula in the dataset in meV/atom: 151.9
Total moment in μB/atom: 0.000

---

2.
Entry from Alexandria: an optimized crystal structure of Na2LaAg (PBE-GGA).

Unit cell a=4.4467 b=4.4467 c=25.1699 alpha=90.00 beta=90.00 gamma=90.00
Space group I-42d (No. 122)
Symmetry-distinct sites (fractional):
Na1 0.2179 0.2500 0.1250 [8 per cell]
La1 0.0000 0.0000 0.5000 [4 per cell]
Ag1 0.0000 0.0000 0.0000 [4 per cell]

Properties
Formation energy in eV/atom: 0.1448
Excess energy over the best structure of this formula in the dataset in meV/atom: 0.0
Total moment in μB/atom: 0.000

---

3.
Entry from Alexandria: an optimized crystal structure of LiTiAl3 (PBE-GGA).

Unit cell a=4.3334 b=4.3334 c=4.3334 alpha=90.00 beta=90.00 gamma=90.00
Space group Pm-3m (No. 221)
Symmetry-distinct sites (fractional):
Li1 0.0000 0.0000 0.0000 [1 per cell]
Ti1 0.5000 0.5000 0.5000 [1 per cell]
Al1 0.0000 0.0000 0.5000 [3 per cell]

Properties
Formation energy in eV/atom: 0.4428
Excess energy over the best structure of this formula in the dataset in meV/atom: 0.0
Total moment in μB/atom: 0.000

---

4.
Entry from Alexandria: an optimized crystal structure of TiVTcPt (PBE-GGA).

Unit cell a=6.1923 b=6.1923 c=6.1923 alpha=90.00 beta=90.00 gamma=90.00
Space group F-43m (No. 216)
Symmetry-distinct sites (fractional):
Ti1 0.0000 0.0000 0.0000 [4 per cell]
V1 0.0000 0.0000 0.5000 [4 per cell]
Tc1 0.2500 0.2500 0.2500 [4 per cell]
Pt1 0.2500 0.2500 0.7500 [4 per cell]

Properties
Formation energy in eV/atom: -0.4880
Total moment in μB/atom: 0.353

---

5.
Entry from Alexandria: an optimized crystal structure of Er2BiH (PBE-GGA).

Unit cell a=4.1078 b=4.1078 c=19.2025 alpha=90.00 beta=90.00 gamma=120.00
Space group R-3m (No. 166, hexagonal axes)
Symmetry-distinct sites (fractional):
Er1 0.0000 0.0000 0.2332 [6 per cell]
Bi1 0.0000 0.0000 0.0000 [3 per cell]
H1 0.0000 0.0000 0.5000 [3 per cell]

Properties
Excess energy over the best structure of this formula in the dataset in meV/atom: 216.2
Total moment in μB/atom: 0.000

---

6.
Entry from Alexandria: an optimized crystal structure of TaMn2Ge (PBE-GGA).

Unit cell a=3.0249 b=17.8371 c=4.1805 alpha=90.00 beta=90.00 gamma=90.00
Space group Cmcm (No. 63)
Symmetry-distinct sites (fractional):
Ta1 0.0000 0.0965 0.2500 [4 per cell]
Mn1 0.0000 0.2640 0.7500 [4 per cell]
Mn2 0.0000 0.4765 0.2500 [4 per cell]
Ge1 0.0000 0.3426 0.2500 [4 per cell]

Properties
Formation energy in eV/atom: 0.0067
Total moment in μB/atom: 0.463

---

Computed E (eV/atom) in order:
-3.932 -2.459 -3.764 -8.843 -4.431 -8.696